A relaxed YTlW2O8 crystal, computed with GGA+U.

a b c (Å): 11.0462 10.7161 7.4910
angles (deg): 90.00 130.47 90.00
Last column: nearest neighbours and their distance in Å.
Space group C2/c (No. 15)
Asymmetric unit:
Y: 0.0000 0.2236 0.2500 (multiplicity 4)  6 O 2.28-2.32
Tl: 0.0000 0.2115 0.7500 (multiplicity 4)  10 O 2.87-3.10
W: 0.1953 0.4954 0.2141 (multiplicity 8)  4 O 1.83-2.03
O: 0.0164 0.3901 0.4634 (multiplicity 8)  2 W 2.03-2.11
O: 0.1373 0.0935 0.1956 (multiplicity 8)  1 W 1.83
O: 0.1870 0.4360 0.9405 (multiplicity 8)  2 W 1.90-2.09
O: 0.2100 0.1521 0.6219 (multiplicity 8)  1 W 1.85

Output
- E (eV per atom) = -7.50